Entry from OQMD: a geometry-optimized TmGeIr structure (GGA-PBE).

Properties
- Density: 12.9 Mg/m³
- V: 18.6 A^3/atom
- Energy: -6.84 eV per atom

Cell: 4.3848 4.3848 6.7172 Å, 90.00 90.00 120.00°
Space group P6_3mc (No. 186)
One atom of each set of equivalent atoms:
Tm 0.0000 0.0000 0.0000 (multiplicity 2)
Ge 0.3333 0.6667 0.2438 (multiplicity 2)
Ir 0.3333 0.6667 0.7577 (multiplicity 2)